The following is a PBE calculation of crystalline Ac2CdNi at its relaxed geometry, from Alexandria.

Cell: 5.5189 5.5189 5.5189 Å, 60.00 60.00 60.00°
With the nearest neighbours (Å) after each atom.
Sites, in units of the cell vectors:
Ni 0.0000 0.0000 0.0000  8 Ac 3.38
Ac 0.2500 0.2500 0.2500  4 Cd 3.38, 4 Ni 3.38
Ac 0.7500 0.7500 0.7500  4 Cd 3.38, 4 Ni 3.38
Cd 0.5000 0.5000 0.5000  8 Ac 3.38

Calculated values
The magnetization comes out at 0.00 μB per cell. The total energy is -3.86 eV/atom. Its symmetry is Fm-3m. Its formation energy is -0.128 eV/atom. The calculation puts the relative energy among the computed polymorphs at 0.117 eV/atom.